# KInSi (PBE, relaxed)
data_KInSi
_cell_length_a 4.855
_cell_length_b 4.855
_cell_length_c 7.750
_cell_angle_alpha 90.00
_cell_angle_beta 90.00
_cell_angle_gamma 120.00
_space_group_name_H-M_alt 'P 1'
_space_group_IT_number 1
loop_
_space_group_symop_operation_xyz
'x,y,z'
loop_
_atom_site_label
_atom_site_type_symbol
_atom_site_fract_x
_atom_site_fract_y
_atom_site_fract_z
K1 K 0.000 0.000 0.756
K2 K 0.000 0.000 0.256
Si1 Si 0.333 0.667 0.447
Si2 Si 0.667 0.333 0.947
In1 In 0.333 0.667 0.046
In2 In 0.667 0.333 0.546
# Formation energy (no corrections) (eV/atom): 0.108

# KInSi (PBE, relaxed)
data_KInSi
_cell_length_a 27.534
_cell_length_b 9.150
_cell_length_c 9.150
_cell_angle_alpha 155.97
_cell_angle_beta 162.36
_cell_angle_gamma 17.64
_space_group_name_H-M_alt 'P 1'
_space_group_IT_number 1
loop_
_space_group_symop_operation_xyz
'x,y,z'
loop_
_atom_site_label
_atom_site_type_symbol
_atom_site_fract_x
_atom_site_fract_y
_atom_site_fract_z
K1 K 0.549 0.336 0.664
K2 K 0.044 0.925 0.075
Si1 Si 0.618 0.019 0.981
Si2 Si 0.483 0.784 0.216
In1 In 0.368 0.796 0.204
In2 In 0.837 0.556 0.444
# Formation energy (no corrections) (eV/atom): 0.038

# KInSi (PBE, relaxed)
data_KInSi
_cell_length_a 4.782
_cell_length_b 14.930
_cell_length_c 8.662
_cell_angle_alpha 30.48
_cell_angle_beta 73.98
_cell_angle_gamma 90.00
_space_group_name_H-M_alt 'P 1'
_space_group_IT_number 1
loop_
_space_group_symop_operation_xyz
'x,y,z'
loop_
_atom_site_label
_atom_site_type_symbol
_atom_site_fract_x
_atom_site_fract_y
_atom_site_fract_z
K1 K 0.384 0.016 0.233
K2 K 0.384 0.751 0.233
K3 K 0.162 0.162 0.676
Si1 Si 0.948 0.448 0.104
Si2 Si 0.619 0.428 0.762
Si3 Si 0.619 0.810 0.762
In1 In 0.630 0.630 0.741
In2 In 0.909 0.222 0.182
In3 In 0.909 0.596 0.182
# Formation energy (no corrections) (eV/atom): 0.132

# K2InSi (PBE, relaxed)
data_K2InSi
_cell_length_a 7.186
_cell_length_b 6.342
_cell_length_c 3.591
_cell_angle_alpha 90.13
_cell_angle_beta 59.75
_cell_angle_gamma 115.08
_space_group_name_H-M_alt 'P 1'
_space_group_IT_number 1
loop_
_space_group_symop_operation_xyz
'x,y,z'
loop_
_atom_site_label
_atom_site_type_symbol
_atom_site_fract_x
_atom_site_fract_y
_atom_site_fract_z
In1 In 0.500 0.500 0.000
K1 K 0.000 0.000 0.000
K2 K 0.500 0.000 0.500
Si1 Si 0.000 0.500 0.500
# Formation energy (no corrections) (eV/atom): 0.356

# K2InSi (PBE, relaxed)
data_K2InSi
_cell_length_a 3.306
_cell_length_b 3.306
_cell_length_c 11.320
_cell_angle_alpha 90.00
_cell_angle_beta 90.00
_cell_angle_gamma 90.00
_space_group_name_H-M_alt 'P 1'
_space_group_IT_number 1
loop_
_space_group_symop_operation_xyz
'x,y,z'
loop_
_atom_site_label
_atom_site_type_symbol
_atom_site_fract_x
_atom_site_fract_y
_atom_site_fract_z
In1 In 0.500 0.500 0.750
K1 K 0.000 0.000 0.028
K2 K 0.000 0.000 0.472
Si1 Si 0.500 0.500 0.250
# Formation energy (no corrections) (eV/atom): 0.343

# KInSi (PBE, relaxed)
data_KInSi
_cell_length_a 6.965
_cell_length_b 3.735
_cell_length_c 8.008
_cell_angle_alpha 106.36
_cell_angle_beta 69.96
_cell_angle_gamma 105.71
_space_group_name_H-M_alt 'P 1'
_space_group_IT_number 1
loop_
_space_group_symop_operation_xyz
'x,y,z'
loop_
_atom_site_label
_atom_site_type_symbol
_atom_site_fract_x
_atom_site_fract_y
_atom_site_fract_z
K1 K 0.108 0.458 0.289
K2 K 0.103 0.191 0.794
Si1 Si 0.728 0.696 0.163
Si2 Si 0.517 0.190 0.332
In1 In 0.512 0.966 0.970
In2 In 0.672 0.906 0.554
# Formation energy (no corrections) (eV/atom): 0.062

The records above yield magnetization values of 0.00, 0.00, 0.00, 0.00, 0.00, 0.00 μB/f.u., respectively.
The records above yield volume values of 158.19, 211.27, 263.21, 123.28, 123.72, 184.23 Å³ per cell, respectively.